Arrangement 1

Computed, not measured: an optimized crystal structure of Pm3Pr2 at the GGA-PBE level of DFT.

abc: 11.955 11.955 11.955
angles: 30.32 30.32 30.32
Fractional positions:
Pm  0.086  0.750  0.414
Pm  0.250  0.586  0.914
Pm  0.414  0.086  0.750
Pm  0.586  0.914  0.250
Pm  0.750  0.414  0.086
Pm  0.914  0.250  0.586
Pr  0.166  0.166  0.166
Pr  0.334  0.334  0.334
Pr  0.666  0.666  0.666
Pr  0.834  0.834  0.834

Computed properties:
The total magnetization is 0.00 μB/cell. The density of states at the Fermi level comes out at 1.530 states/eV/atom.


Arrangement 2

Computed, not measured: an optimized crystal structure of Pm3Pr2 at the GGA-PBE level of DFT.

abc: 6.336 6.336 6.336
angles: 128.78 107.31 94.36
Fractional positions:
Pm  0.000  0.000  0.000
Pm  0.305  0.805  0.500
Pm  0.695  0.195  0.500
Pr  0.290  0.500  0.790
Pr  0.710  0.500  0.210

Computed properties:
The total magnetization is 0.00 μB/cell. The density of states at the Fermi level comes out at 1.668 states/eV/atom.


Most stable pick: arrangement 2. Distance to second place: 18.1 kJ/mol of atoms.


Arrangement 1

Computed, not measured: an optimized crystal structure of Pm8Pr3 at the GGA-PBE level of DFT.

abc: 7.294 7.294 7.294
angles: 86.12 86.12 86.12
Fractional positions:
Pm  0.122  0.122  0.122
Pm  0.194  0.356  0.610
Pm  0.356  0.610  0.194
Pm  0.390  0.806  0.644
Pm  0.610  0.194  0.356
Pm  0.644  0.390  0.806
Pm  0.806  0.644  0.390
Pm  0.878  0.878  0.878
Pr  0.000  0.000  0.500
Pr  0.000  0.500  0.000
Pr  0.500  0.000  0.000

Computed properties:
The total magnetization is 0.00 μB/cell. The density of states at the Fermi level comes out at 1.438 states/eV/atom.


Arrangement 2

Computed, not measured: an optimized crystal structure of Pm8Pr3 at the GGA-PBE level of DFT.

abc: 6.371 6.371 13.237
angles: 103.80 103.80 47.89
Fractional positions:
Pm  0.045  0.045  0.318
Pm  0.137  0.137  0.954
Pm  0.227  0.227  0.591
Pm  0.318  0.318  0.227
Pm  0.682  0.682  0.773
Pm  0.773  0.773  0.409
Pm  0.863  0.863  0.046
Pm  0.955  0.955  0.682
Pr  0.409  0.409  0.863
Pr  0.500  0.500  0.500
Pr  0.591  0.591  0.137

Computed properties:
The total magnetization is 0.00 μB/cell. The density of states at the Fermi level comes out at 1.573 states/eV/atom.


Most stable pick: arrangement 2. Distance to second place: 42.6 kJ/mol of atoms.


Arrangement 1

Computed, not measured: an optimized crystal structure of Pm3Pr7 at the GGA-PBE level of DFT.

abc: 11.334 11.334 6.448
angles: 90.00 90.00 120.00
Fractional positions:
Pm  0.215  0.430  0.000
Pm  0.215  0.785  0.000
Pm  0.430  0.215  0.500
Pm  0.570  0.785  0.000
Pm  0.785  0.215  0.500
Pm  0.785  0.570  0.500
Pr  0.055  0.528  0.376
Pr  0.116  0.233  0.517
Pr  0.116  0.884  0.517
Pr  0.233  0.116  0.017
Pr  0.333  0.667  0.600
Pr  0.472  0.528  0.376
Pr  0.472  0.945  0.376
Pr  0.528  0.055  0.876
Pr  0.528  0.472  0.876
Pr  0.667  0.333  0.100
Pr  0.767  0.884  0.517
Pr  0.884  0.116  0.017
Pr  0.884  0.767  0.017
Pr  0.945  0.472  0.876

Computed properties:
The total magnetization is 0.00 μB/cell. The density of states at the Fermi level comes out at 1.792 states/eV/atom.


Arrangement 2

Computed, not measured: an optimized crystal structure of Pm3Pr7 at the GGA-PBE level of DFT.

abc: 9.790 9.790 7.386
angles: 100.98 100.98 30.90
Fractional positions:
Pm  0.000  0.000  0.000
Pm  0.200  0.200  0.600
Pm  0.800  0.800  0.400
Pr  0.000  0.000  0.500
Pr  0.200  0.200  0.101
Pr  0.399  0.399  0.699
Pr  0.400  0.400  0.200
Pr  0.600  0.600  0.800
Pr  0.601  0.601  0.301
Pr  0.800  0.800  0.899

Computed properties:
The total magnetization is 0.00 μB/cell. The density of states at the Fermi level comes out at 1.568 states/eV/atom.


Most stable pick: arrangement 2. Distance to second place: 14.3 kJ/mol of atoms.